No. 1
Here is a relaxed SnHgS2 crystal from the Alexandria database. Energies are from GGA-PBE.

Results
The crystal system is tetragonal. As for the size of the total moment: 0.00 μB/f.u. Its formation energy without anion corrections is -0.07 eV/atom.

Structure (CIF):
```
data_SnHgS2
_chemical_formula_sum 'Sn4 Hg4 S8'
_cell_length_a 7.228
_cell_length_b 7.228
_cell_length_c 6.908
_cell_angle_alpha 90.00
_cell_angle_beta 90.00
_cell_angle_gamma 90.00
_space_group_name_H-M_alt 'I 4/m c m'
_space_group_IT_number 140
_space_group_name_Hall '-I 4 2c'
loop_
_atom_site_label
_atom_site_type_symbol
_atom_site_fract_x
_atom_site_fract_y
_atom_site_fract_z
_atom_site_occupancy
Sn1 Sn 0.000 0.000 0.250 1
Hg1 Hg 0.000 0.500 0.250 1
S1 S 0.194 0.306 0.000 1
```

***

No. 2
Here is a relaxed SnHgS2 crystal from the Alexandria database. Energies are from GGA-PBE.

Results
The crystal system is monoclinic. As for the size of the total moment: 0.00 μB/f.u. Its formation energy without anion corrections is -0.21 eV/atom.

Structure (CIF):
```
data_SnHgS2
_chemical_formula_sum 'Sn1 Hg1 S2'
_cell_length_a 4.404
_cell_length_b 4.144
_cell_length_c 6.317
_cell_angle_alpha 90.00
_cell_angle_beta 102.39
_cell_angle_gamma 90.00
_space_group_name_H-M_alt 'P 1 m 1'
_space_group_IT_number 6
loop_
_space_group_symop_operation_xyz
'x,y,z'
'x,-y,z'
loop_
_atom_site_label
_atom_site_type_symbol
_atom_site_fract_x
_atom_site_fract_y
_atom_site_fract_z
_atom_site_occupancy
Sn1 Sn 0.000 0.000 0.000 1
Hg1 Hg 0.297 0.500 0.583 1
S1 S 0.019 0.000 0.417 1
S2 S 0.596 0.500 0.968 1
```

***

No. 3
Here is a relaxed SnHgS2 crystal from the Alexandria database. Energies are from GGA-PBE.

Results
The crystal system is monoclinic. As for the size of the total moment: 0.00 μB/f.u. Its formation energy without anion corrections is -0.20 eV/atom.

Structure (CIF):
```
data_SnHgS2
_chemical_formula_sum 'Sn16 Hg16 S32'
_cell_length_a 10.801
_cell_length_b 10.803
_cell_length_c 18.829
_cell_angle_alpha 90.00
_cell_angle_beta 98.82
_cell_angle_gamma 90.00
_space_group_name_H-M_alt 'C 1 2/c 1'
_space_group_IT_number 15
loop_
_space_group_symop_operation_xyz
'x,y,z'
'-x,-y,-z'
'-x,y,-z+1/2'
'x,-y,z+1/2'
'x+1/2,y+1/2,z'
'-x+1/2,-y+1/2,-z'
'-x+1/2,y+1/2,-z+1/2'
'x+1/2,-y+1/2,z+1/2'
loop_
_atom_site_label
_atom_site_type_symbol
_atom_site_fract_x
_atom_site_fract_y
_atom_site_fract_z
_atom_site_occupancy
Sn1 Sn 0.105 0.188 0.178 1
Sn2 Sn 0.143 0.435 0.323 1
Hg1 Hg 0.046 0.187 0.924 1
Hg2 Hg 0.207 0.442 0.569 1
S1 S 0.000 0.047 0.250 1
S2 S 0.000 0.424 0.750 1
S3 S 0.040 0.312 0.405 1
S4 S 0.210 0.063 0.097 1
S5 S 0.235 0.189 0.749 1
```

***

No. 4
Here is a relaxed SnHgS2 crystal from the Alexandria database. Energies are from GGA-PBE.

Results
The crystal system is monoclinic. As for the size of the total moment: 0.00 μB/f.u. Its formation energy without anion corrections is -0.07 eV/atom.

Structure (CIF):
```
data_SnHgS2
_chemical_formula_sum 'Sn4 Hg4 S8'
_cell_length_a 7.810
_cell_length_b 4.239
_cell_length_c 15.576
_cell_angle_alpha 90.00
_cell_angle_beta 116.85
_cell_angle_gamma 90.00
_space_group_name_H-M_alt 'P 1 21/c 1'
_space_group_IT_number 14
loop_
_space_group_symop_operation_xyz
'x,y,z'
'-x,-y,-z'
'-x,y+1/2,-z+1/2'
'x,-y+1/2,z+1/2'
loop_
_atom_site_label
_atom_site_type_symbol
_atom_site_fract_x
_atom_site_fract_y
_atom_site_fract_z
_atom_site_occupancy
Sn1 Sn 0.178 0.003 0.219 1
Hg1 Hg 0.106 0.002 0.435 1
S1 S 0.332 0.001 0.102 1
S2 S 0.370 0.502 0.333 1
```

***

No. 5
Here is a relaxed Sn5Hg12S3 crystal from the Alexandria database. Energies are from GGA-PBE.

Results
The crystal system is cubic. As for the size of the total moment: 0.00 μB/f.u. Its formation energy without anion corrections is 0.14 eV/atom.

Structure (CIF):
```
data_Sn5Hg12S3
_chemical_formula_sum 'Sn40 Hg96 S24'
_cell_length_a 16.856
_cell_length_b 16.856
_cell_length_c 16.856
_cell_angle_alpha 90.00
_cell_angle_beta 90.00
_cell_angle_gamma 90.00
_space_group_name_H-M_alt 'I a -3 d'
_space_group_IT_number 230
_space_group_name_Hall '-I 4bd 2c 3'
loop_
_atom_site_label
_atom_site_type_symbol
_atom_site_fract_x
_atom_site_fract_y
_atom_site_fract_z
_atom_site_occupancy
Sn1 Sn 0.000 0.000 0.000 1
Sn2 Sn 0.000 0.250 0.375 1
Hg1 Hg 0.027 0.090 0.648 1
S1 S 0.000 0.250 0.125 1
```

***

No. 6
Here is a relaxed SnHgS2 crystal from the Alexandria database. Energies are from GGA-PBE.

Results
The crystal system is orthorhombic. As for the size of the total moment: 0.00 μB/f.u. Its formation energy without anion corrections is -0.23 eV/atom.

Structure (CIF):
```
data_SnHgS2
_chemical_formula_sum 'Sn4 Hg4 S8'
_cell_length_a 7.964
_cell_length_b 4.034
_cell_length_c 13.530
_cell_angle_alpha 90.00
_cell_angle_beta 90.00
_cell_angle_gamma 90.00
_space_group_name_H-M_alt 'P n m a'
_space_group_IT_number 62
loop_
_space_group_symop_operation_xyz
'x,y,z'
'-x,-y,-z'
'-x+1/2,-y,z+1/2'
'x+1/2,y,-z+1/2'
'x+1/2,-y+1/2,-z+1/2'
'-x+1/2,y+1/2,z+1/2'
'-x,y+1/2,-z'
'x,-y+1/2,z'
loop_
_atom_site_label
_atom_site_type_symbol
_atom_site_fract_x
_atom_site_fract_y
_atom_site_fract_z
_atom_site_occupancy
Sn1 Sn 0.078 0.250 0.149 1
Hg1 Hg 0.156 0.750 0.391 1
S1 S 0.060 0.250 0.740 1
S2 S 0.197 0.750 0.968 1
```